{
  "formula": "Nd6Ru2SCl3",
  "functional": "PBE-GGA",
  "state": "optimized geometry",
  "total_magnetization_mub_per_fu": 0.00,
  "e_form_raw_ev_per_atom": -1.18,
  "lattice": [[3.564, -6.174, 0.000], [3.564, 6.174, 0.000], [-2.371, 0.000, 7.429]],
  "species": ["Nd", "Nd", "Nd", "Nd", "Nd", "Nd", "Ru", "Ru", "S", "Cl", "Cl", "Cl"],
  "fractional_positions": [[0.084, 0.431, 0.792], [0.221, 0.221, 0.207], [0.431, 0.084, 0.792], [0.569, 0.916, 0.208], [0.779, 0.779, 0.793], [0.916, 0.569, 0.208], [0.167, 0.833, 0.000], [0.833, 0.167, 0.000], [0.500, 0.500, 0.000], [0.000, 0.000, 0.500], [0.336, 0.664, 0.500], [0.664, 0.336, 0.500]]
}



{
  "formula": "InCuSb2Te",
  "functional": "PBE-GGA",
  "state": "optimized geometry",
  "total_magnetization_mub_per_fu": 0.00,
  "e_form_raw_ev_per_atom": 0.34,
  "de_polymorph_ev_per_atom": 0.000,
  "lattice": [[5.143, 0.000, 0.000], [0.000, 5.143, 0.000], [0.000, 0.000, 5.419]],
  "species": ["In", "Cu", "Sb", "Sb", "Te"],
  "fractional_positions": [[0.000, 0.000, 0.000], [0.500, 0.500, 0.500], [0.000, 0.500, 0.500], [0.500, 0.000, 0.500], [0.500, 0.500, 0.000]]
}



{
  "formula": "Pa3Si2Rh3",
  "functional": "PBE-GGA",
  "state": "optimized geometry",
  "total_magnetization_mub_per_fu": 0.00,
  "e_form_raw_ev_per_atom": -0.82,
  "lattice": [[7.605, 0.000, 0.000], [0.000, 14.581, 0.000], [0.000, 0.000, 5.526]],
  "species": ["Pa", "Pa", "Pa", "Pa", "Pa", "Pa", "Pa", "Pa", "Pa", "Pa", "Pa", "Pa", "Si", "Si", "Si", "Si", "Si", "Si", "Si", "Si", "Rh", "Rh", "Rh", "Rh", "Rh", "Rh", "Rh", "Rh", "Rh", "Rh", "Rh", "Rh"],
  "fractional_positions": [[0.034, 0.107, 0.141], [0.034, 0.393, 0.141], [0.168, 0.250, 0.632], [0.332, 0.750, 0.132], [0.466, 0.607, 0.641], [0.466, 0.893, 0.641], [0.534, 0.107, 0.359], [0.534, 0.393, 0.359], [0.668, 0.250, 0.868], [0.832, 0.750, 0.368], [0.966, 0.607, 0.859], [0.966, 0.893, 0.859], [0.115, 0.610, 0.351], [0.115, 0.890, 0.351], [0.385, 0.110, 0.851], [0.385, 0.390, 0.851], [0.615, 0.610, 0.149], [0.615, 0.890, 0.149], [0.885, 0.110, 0.649], [0.885, 0.390, 0.649], [0.171, 0.032, 0.595], [0.171, 0.468, 0.595], [0.197, 0.750, 0.638], [0.303, 0.250, 0.138], [0.329, 0.532, 0.095], [0.329, 0.968, 0.095], [0.671, 0.032, 0.905], [0.671, 0.468, 0.905], [0.697, 0.750, 0.862], [0.803, 0.250, 0.362], [0.829, 0.532, 0.405], [0.829, 0.968, 0.405]]
}



{
  "formula": "Pm8Ho6In",
  "functional": "PBE-GGA",
  "state": "optimized geometry",
  "total_magnetization_mub_per_fu": 0.00,
  "formation_energy_mev_per_atom": 79,
  "lattice": [[9.315, 0.000, 0.000], [-4.657, 8.067, 0.000], [0.000, 0.000, 6.529]],
  "species": ["Pm", "Pm", "Pm", "Pm", "Pm", "Pm", "Pm", "Pm", "Ho", "Ho", "Ho", "Ho", "Ho", "Ho", "In"],
  "fractional_positions": [[0.041, 0.273, 0.321], [0.232, 0.959, 0.321], [0.273, 0.232, 0.679], [0.333, 0.667, 0.354], [0.667, 0.333, 0.646], [0.727, 0.768, 0.321], [0.768, 0.041, 0.679], [0.959, 0.727, 0.679], [0.097, 0.447, 0.835], [0.350, 0.903, 0.835], [0.447, 0.350, 0.165], [0.553, 0.650, 0.835], [0.650, 0.097, 0.165], [0.903, 0.553, 0.165], [0.000, 0.000, 0.000]]
}



{
  "formula": "Cu2BrCl",
  "functional": "PBE-GGA",
  "state": "optimized geometry",
  "total_magnetization_mub_per_fu": 0.00,
  "e_form_raw_ev_per_atom": -0.28,
  "de_polymorph_ev_per_atom": 0.021,
  "lattice": [[4.239, 0.000, 0.000], [0.000, 3.912, 0.000], [-0.024, 0.000, 5.163]],
  "species": ["Cu", "Cu", "Br", "Cl"],
  "fractional_positions": [[0.000, 0.000, 0.000], [0.251, 0.500, 0.352], [0.342, 0.000, 0.638], [0.771, 0.500, 0.141]]
}



{
  "formula": "CaPm6Y8",
  "functional": "PBE-GGA",
  "state": "optimized geometry",
  "total_magnetization_mub_per_fu": 0.00,
  "formation_energy_mev_per_atom": 187,
  "lattice": [[4.892, 2.824, 6.071], [-4.892, 2.824, 6.071], [0.000, -5.648, 6.071]],
  "species": ["Ca", "Pm", "Pm", "Pm", "Pm", "Pm", "Pm", "Y", "Y", "Y", "Y", "Y", "Y", "Y", "Y"],
  "fractional_positions": [[0.000, 0.000, 0.000], [0.172, 0.436, 0.617], [0.383, 0.828, 0.564], [0.436, 0.617, 0.172], [0.564, 0.383, 0.828], [0.617, 0.172, 0.436], [0.828, 0.564, 0.383], [0.052, 0.867, 0.374], [0.133, 0.626, 0.948], [0.238, 0.238, 0.238], [0.374, 0.052, 0.867], [0.626, 0.948, 0.133], [0.762, 0.762, 0.762], [0.867, 0.374, 0.052], [0.948, 0.133, 0.626]]
}



{
  "formula": "CsNb2I",
  "functional": "PBE-GGA",
  "state": "optimized geometry",
  "total_magnetization_mub_per_fu": 0.00,
  "e_form_raw_ev_per_atom": 1.61,
  "lattice": [[0.000, 3.540, 3.540], [3.540, 0.000, 3.540], [3.540, 3.540, 0.000]],
  "species": ["Cs", "Nb", "Nb", "I"],
  "fractional_positions": [[0.000, 0.000, 0.000], [0.250, 0.250, 0.250], [0.750, 0.750, 0.750], [0.500, 0.500, 0.500]]
}



{
  "formula": "BaPt4Pb12",
  "functional": "PBE-GGA",
  "state": "optimized geometry",
  "total_magnetization_mub_per_fu": 0.00,
  "formation_energy_mev_per_atom": -175,
  "lattice": [[-4.982, 4.982, 4.982], [4.982, -4.982, 4.982], [4.982, 4.982, -4.982]],
  "species": ["Ba", "Pt", "Pt", "Pt", "Pt", "Pb", "Pb", "Pb", "Pb", "Pb", "Pb", "Pb", "Pb", "Pb", "Pb", "Pb", "Pb"],
  "fractional_positions": [[0.000, 0.000, 0.000], [0.000, 0.000, 0.500], [0.000, 0.500, 0.000], [0.500, 0.000, 0.000], [0.500, 0.500, 0.500], [0.162, 0.343, 0.504], [0.162, 0.657, 0.819], [0.181, 0.838, 0.343], [0.343, 0.181, 0.838], [0.343, 0.504, 0.162], [0.496, 0.838, 0.657], [0.504, 0.162, 0.343], [0.657, 0.496, 0.838], [0.657, 0.819, 0.162], [0.819, 0.162, 0.657], [0.838, 0.343, 0.181], [0.838, 0.657, 0.496]]
}



no.,N(E_F) (states/eV/atom)
1,0.714
2,0.866
3,1.270
4,1.430
5,0.001
6,1.462
7,1.127
8,0.540